1.
Here is a relaxed Ac3Ge2Ir3 crystal from the Alexandria database. Energies are from PBE.

Cell lengths 4.4620, 6.1117, 15.5670 Å; angles 90.00, 90.00, 111.41 degrees
Element x y z (fractional)
Ir 0.6711 0.3422 0.4631
Ir 0.3239 0.6477 0.2500
Ir 0.6761 0.3523 0.7500
Ir 0.3289 0.6578 0.5369
Ir 0.3289 0.6578 0.9631
Ir 0.6711 0.3422 0.0369
Ge 0.7921 0.5841 0.8979
Ge 0.2079 0.4159 0.1021
Ge 0.2079 0.4159 0.3979
Ge 0.7921 0.5841 0.6021
Ac 0.9204 0.8408 0.1070
Ac 0.3661 0.7322 0.7500
Ac 0.0796 0.1592 0.8930
Ac 0.0796 0.1592 0.6070
Ac 0.6339 0.2678 0.2500
Ac 0.9204 0.8408 0.3930

Calculated values
The value obtained for the total magnetic moment is 0.00 μB per atom. The value obtained for the energy of formation from the pure elements is -0.658 eV/atom.

=====

2.
Here is a relaxed Ac2Ge5Ir crystal from the Alexandria database. Energies are from PBE.

Cell lengths 6.7930, 6.7930, 6.7930 Å; angles 78.35, 126.94, 126.94 degrees
Element x y z (fractional)
Ac 0.5000 0.7419 0.2419
Ac 0.5000 0.2419 0.7419
Ge 0.0000 0.3314 0.3314
Ge 0.0000 0.2686 0.7314
Ge 0.5372 0.2686 0.2686
Ge 0.4628 0.7314 0.7314
Ge 0.0000 0.7314 0.2686
Ir 0.0000 0.9068 0.9068

Calculated values
The value obtained for the total magnetic moment is 0.00 μB per atom. The value obtained for the energy of formation from the pure elements is -0.461 eV/atom.

=====

| no. | calculated density (Mg/m³) |
| --- | --- |
| 1 | 11.789 |
| 2 | 8.643 |